LiLuSnRu: optimized geometry, GGA-PBE.

Values from the calculation:
Space-group type: F-43m
Spin magnetization, μB per cell: 0.00
Energy of formation from the pure elements, eV per atom: -0.44

Cell: 4.6730 4.6730 4.6730 Å, 60.00 60.00 60.00°
With the nearest neighbours (Å) after each atom.
Fractional positions:
Sn 0.2500 0.2500 0.2500  4 Ru 2.86, 4 Li 2.86
Lu 0.7500 0.7500 0.7500  4 Li 2.86, 4 Ru 2.86
Li 0.0000 0.0000 0.0000  4 Sn 2.86, 4 Lu 2.86
Ru 0.5000 0.5000 0.5000  4 Sn 2.86, 4 Lu 2.86